Compound: CrSnAsH2
Source: the Alexandria database
Functional: PBE
Structure: relaxed

Properties
electronic total energy: -4.52 eV per atom
volume: 73 Å³ per cell
N(E_F): 2.1 states/eV per cell

```
data_CrSnAsH2
_cell_length_a 3.7829
_cell_length_b 5.0992
_cell_length_c 3.7829
_cell_angle_alpha 90.00
_cell_angle_beta 90.00
_cell_angle_gamma 90.00
_space_group_name_H-M_alt 'P 1'
_space_group_IT_number 1
_space_group_name_Hall 'P 1'
loop_
_atom_site_label
_atom_site_fract_x
_atom_site_fract_y
_atom_site_fract_z
H1 0.0000 0.0000 0.5000
H2 0.5000 0.0000 0.0000
Sn1 0.5000 0.5000 0.5000
Cr1 0.0000 0.5000 0.0000
As1 0.0000 0.0000 0.0000
```

---

Compound: Li4Sn
Source: the Alexandria database
Functional: PBE
Structure: relaxed

Properties
electronic total energy: -2.59 eV per atom
energy relative to the lowest polymorph listed for this composition: 0.000 eV/atom
E_form: -0.26 eV/atom
volume: 205 Å³ per cell
N(E_F): 2.8 states/eV per cell

```
data_Li4Sn
_cell_length_a 4.9689
_cell_length_b 5.0189
_cell_length_c 8.3415
_cell_angle_alpha 100.03
_cell_angle_beta 90.00
_cell_angle_gamma 90.00
_space_group_name_H-M_alt 'P 1'
_space_group_IT_number 1
_space_group_name_Hall 'P 1'
loop_
_atom_site_label
_atom_site_fract_x
_atom_site_fract_y
_atom_site_fract_z
Li1 0.9861 0.0022 0.3356
Li2 0.2056 0.4827 0.8834
Li3 0.7056 0.5173 0.6166
Li4 0.4861 0.9978 0.1644
Li5 0.0139 0.9978 0.6644
Li6 0.5139 0.0022 0.8356
Li7 0.7944 0.5173 0.1166
Sn1 0.0000 0.0000 0.0000
Li8 0.2944 0.4827 0.3834
Sn2 0.5000 0.0000 0.5000
```

---

Compound: Nb2CuTcH
Source: the Alexandria database
Functional: PBE
Structure: relaxed

Properties
electronic total energy: -7.62 eV per atom
energy relative to the lowest polymorph listed for this composition: 0.009 eV/atom
volume: 65 Å³ per cell
N(E_F): 3.0 states/eV per cell

```
data_Nb2CuTcH
_cell_length_a 4.0860
_cell_length_b 4.0860
_cell_length_c 3.8857
_cell_angle_alpha 90.00
_cell_angle_beta 90.00
_cell_angle_gamma 90.00
_space_group_name_H-M_alt 'P 1'
_space_group_IT_number 1
_space_group_name_Hall 'P 1'
loop_
_atom_site_label
_atom_site_fract_x
_atom_site_fract_y
_atom_site_fract_z
Nb1 0.0000 0.5000 0.0000
Nb2 0.5000 0.0000 0.0000
Tc1 0.0000 0.0000 0.5000
H1 0.0000 0.0000 0.0000
Cu1 0.5000 0.5000 0.5000
```

---

Compound: BaSmCdPb
Source: the Alexandria database
Functional: PBE
Structure: relaxed

Properties
electronic total energy: -3.15 eV per atom
E_form: -0.33 eV/atom
volume: 134 Å³ per cell
N(E_F): 4.7 states/eV per cell

```
data_BaSmCdPb
_cell_length_a 5.7457
_cell_length_b 5.7457
_cell_length_c 5.7457
_cell_angle_alpha 60.00
_cell_angle_beta 60.00
_cell_angle_gamma 60.00
_space_group_name_H-M_alt 'P 1'
_space_group_IT_number 1
_space_group_name_Hall 'P 1'
loop_
_atom_site_label
_atom_site_fract_x
_atom_site_fract_y
_atom_site_fract_z
Sm1 0.5000 0.5000 0.5000
Cd1 0.2500 0.2500 0.2500
Pb1 0.7500 0.7500 0.7500
Ba1 0.0000 0.0000 0.0000
```

---

> Number 1 is which compound?

CrSnAsH2